Rb2NpInSe5 | Alexandria | PBE | relaxed; volume = 34.89 Å³ per atom; VASP energy = -4.84 eV per atom; symmetry = Cmc2_1 (36)
1.0
-1.6170 -2.9576 2.5581
-3.4151 -3.0561 -9.1919
12.1533 -8.1939 -1.7911
In Np Se Rb
2 2 10 4
direct
0.5622 0.1245 0.9295 In
0.4378 0.8755 0.4295 In
0.2048 0.4096 0.0230 Np
0.7952 0.5904 0.5230 Np
0.3334 0.6668 0.0061 Se
0.6666 0.3332 0.5061 Se
0.9390 0.8780 0.5426 Se
0.3049 0.6098 0.3929 Se
0.7060 0.4119 0.1442 Se
0.0610 0.1220 0.0426 Se
0.4986 0.9973 0.2827 Se
0.2940 0.5881 0.6442 Se
0.6951 0.3902 0.8929 Se
0.5014 0.0027 0.7827 Se
0.1167 0.2335 0.6838 Rb
0.1303 0.2605 0.3193 Rb
0.8833 0.7665 0.1838 Rb
0.8697 0.7395 0.8193 Rb



Rb3Np3InSe8 | Alexandria | PBE | relaxed; volume = 33.34 Å³ per atom; VASP energy = -5.93 eV per atom; symmetry = R-3m (166)
1.0
8.4592 0.0000 0.0000
-4.2296 7.3278 -0.0238
0.0000 -4.8586 8.0841
Se Np In Rb
8 3 1 3
direct
0.2302 0.4604 0.6894 Se
0.7698 0.5396 0.3106 Se
0.7696 0.0409 0.3106 Se
0.2304 0.9591 0.6894 Se
0.7287 0.9591 0.6894 Se
0.2687 0.5374 0.3061 Se
0.2713 0.0409 0.3106 Se
0.7313 0.4626 0.6939 Se
0.5000 0.0000 0.5000 Np
0.0000 0.5000 0.5000 Np
0.5000 0.5000 0.5000 Np
0.0000 0.0000 0.5000 In
0.0000 0.0000 0.0000 Rb
0.5000 0.5000 0.0000 Rb
0.0000 0.5000 0.0000 Rb



Rb2NpInTe4 | Alexandria | PBE | relaxed; volume = 39.12 Å³ per atom; VASP energy = -4.46 eV per atom; symmetry = I-42m (121)
1.0
-1.5118 6.2449 4.2919
-3.0955 -0.6040 6.7441
5.0302 2.7226 4.7659
In Rb Np Te
1 2 1 4
direct
0.5000 0.0000 0.0000 In
0.5000 0.5000 0.5000 Rb
0.0000 0.5000 0.5000 Rb
0.0000 0.0000 0.0000 Np
0.5537 0.0000 0.3527 Te
0.0936 0.3527 0.0000 Te
0.4463 0.6473 0.0000 Te
0.9064 0.0000 0.6473 Te



Np2InRh2 | Alexandria | PBE | relaxed; volume = 20.91 Å³ per atom; ΔE_f = -285 meV per atom; symmetry = P4/mbm (127)
1.0
-6.8387 1.1410 3.0863
-2.1427 -6.9465 -2.1797
1.1946 -1.3565 3.1486
In Np Rh
2 4 4
direct
0.5000 0.5000 0.0000 In
0.0000 0.0000 0.0000 In
0.6593 0.1593 0.5000 Np
0.3407 0.8407 0.5000 Np
0.8407 0.6593 0.5000 Np
0.1593 0.3407 0.5000 Np
0.1431 0.6431 0.0000 Rh
0.6431 0.8569 0.0000 Rh
0.8569 0.3569 0.0000 Rh
0.3569 0.1431 0.0000 Rh



NpInRh | Alexandria | PBE | relaxed; volume = 20.39 Å³ per atom; ΔE_f = -180 meV per atom; symmetry = I4mm (107)
1.0
3.1565 0.0000 0.0000
0.0000 3.1565 0.0000
-1.5783 -1.5783 6.1390
In Rh Np
1 1 1
direct
0.0207 0.0207 0.0413 In
0.6637 0.6637 0.3275 Rh
0.3156 0.3156 0.6312 Np



NpInRh4 | Alexandria | PBE | relaxed; volume = 16.93 Å³ per atom; ΔE_f = -262 meV per atom; symmetry = C2/m (12)
1.0
-2.0448 1.2809 -2.9001
0.2428 -3.0857 -3.9879
-6.0862 -0.8056 1.4816
Rh In Np
4 1 1
direct
0.3776 0.9285 0.3164 Rh
0.1788 0.4680 0.1743 Rh
0.6224 0.0715 0.6836 Rh
0.8212 0.5320 0.8257 Rh
0.0000 0.0000 0.0000 In
0.5000 0.5000 0.5000 Np



Np2In8Rh | Alexandria | PBE | relaxed; volume = 24.03 Å³ per atom; ΔE_f = -127 meV per atom; symmetry = P4/mmm (123)
1.0
-2.7660 -0.1967 -3.7393
-3.7360 -0.1682 2.7724
-0.6611 12.1806 -0.1519
In Np Rh
8 2 1
direct
0.5000 0.5000 0.6906 In
0.5000 0.0000 0.8764 In
0.0000 0.5000 0.5000 In
0.5000 0.0000 0.5000 In
0.0000 0.5000 0.1236 In
0.5000 0.0000 0.1236 In
0.5000 0.5000 0.3094 In
0.0000 0.5000 0.8764 In
0.0000 0.0000 0.6914 Np
0.0000 0.0000 0.3086 Np
0.0000 0.0000 0.0000 Rh



NpIn2Rh2 | Alexandria | PBE | relaxed; volume = 21.07 Å³ per atom; ΔE_f = -307 meV per atom; symmetry = P-3m1 (164)
1.0
4.5820 0.0146 0.0038
2.2815 3.9736 0.0038
-0.0029 -0.0017 5.7971
In Np Rh
2 1 2
direct
0.8334 0.3334 0.6381 In
0.1666 0.6666 0.3619 In
0.5000 0.0000 0.0000 Np
0.8334 0.3334 0.1562 Rh
0.1666 0.6666 0.8438 Rh